GdOsPb: relaxed, PBE-GGA.

Results
Symmetry: F-43m (216)
E (Ry/atom): -0.4156

a = 4.830 Å, b = 4.830 Å, c = 4.830 Å
α = 60.00°, β = 60.00°, γ = 60.00°
Positions (direct):
Gd  0.000  0.000  0.000
Os  0.250  0.250  0.250
Pb  0.750  0.750  0.750


GdOsPb: relaxed, PBE-GGA.

Results
Symmetry: F-43m (216)
E (Ry/atom): -0.4315

a = 4.768 Å, b = 4.768 Å, c = 4.768 Å
α = 60.00°, β = 60.00°, γ = 60.00°
Positions (direct):
Gd  0.250  0.250  0.250
Os  0.750  0.750  0.750
Pb  0.000  0.000  0.000


GdOs2Pb2: relaxed, PBE-GGA.

Results
Symmetry: I4/mmm (139)
E (Ry/atom): -0.4626

a = 6.526 Å, b = 6.526 Å, c = 6.526 Å
α = 139.84°, β = 139.84°, γ = 58.10°
Positions (direct):
Gd  0.000  0.000  0.000
Os  0.750  0.250  0.500
Os  0.250  0.750  0.500
Pb  0.376  0.376  0.000
Pb  0.624  0.624  0.000


GdOsPd: relaxed, PBE-GGA.

Results
Formation energy from the elements (eV per atom): 0.37
Symmetry: F-43m (216)

a = 4.503 Å, b = 4.503 Å, c = 4.503 Å
α = 60.00°, β = 60.00°, γ = 60.00°
Positions (direct):
Gd  0.250  0.250  0.250
Os  0.750  0.750  0.750
Pd  0.000  0.000  0.000


PrGdSi2Os2: relaxed, PBE-GGA.

Results
Symmetry: P4mm (99)
E (Ry/atom): -0.5704

a = 4.198 Å, b = 4.198 Å, c = 6.941 Å
α = 90.00°, β = 90.00°, γ = 90.00°
Positions (direct):
Gd  0.000  0.000  0.317
Os  0.500  0.000  0.004
Os  0.000  0.500  0.004
Pr  0.500  0.500  0.669
Si  0.500  0.500  0.184
Si  0.000  0.000  0.822


Pr3Gd3Te2Os: relaxed, PBE-GGA.

Results
Symmetry: P-62m (189)
E (Ry/atom): -0.4208

a = 8.592 Å, b = 8.592 Å, c = 4.022 Å
α = 90.00°, β = 90.00°, γ = 120.00°
Positions (direct):
Gd  0.402  0.000  0.000
Gd  0.000  0.402  0.000
Gd  0.598  0.598  0.000
Os  0.000  0.000  0.000
Pr  0.756  0.000  0.500
Pr  0.244  0.244  0.500
Pr  0.000  0.756  0.500
Te  0.667  0.333  0.500
Te  0.333  0.667  0.500


Pr3Gd3Te2Os: relaxed, PBE-GGA.

Results
Symmetry: P-62m (189)
E (Ry/atom): -0.4286

a = 8.538 Å, b = 8.538 Å, c = 4.112 Å
α = 90.00°, β = 90.00°, γ = 120.00°
Positions (direct):
Gd  0.765  0.000  0.500
Gd  0.235  0.235  0.500
Gd  0.000  0.765  0.500
Os  0.000  0.000  0.000
Pr  0.401  0.000  0.000
Pr  0.000  0.401  0.000
Pr  0.599  0.599  0.000
Te  0.667  0.333  0.500
Te  0.333  0.667  0.500


Pr2GdTm3Te2Os: relaxed, PBE-GGA.

Results
Symmetry: Amm2 (38)
E (Ry/atom): -0.4250

a = 4.108 Å, b = 8.395 Å, c = 8.395 Å
α = 120.36°, β = 90.00°, γ = 90.00°
Positions (direct):
Gd  0.000  0.384  0.384
Os  0.000  0.020  0.020
Pr  0.000  0.599  0.001
Pr  0.000  0.001  0.599
Te  0.500  0.660  0.335
Te  0.500  0.335  0.660
Tm  0.500  0.994  0.232
Tm  0.500  0.774  0.774
Tm  0.500  0.232  0.994


RbGdOs: relaxed, PBE-GGA.

Results
Symmetry: F-43m (216)
E (Ry/atom): -0.3303

a = 4.955 Å, b = 4.955 Å, c = 4.955 Å
α = 60.00°, β = 60.00°, γ = 60.00°
Positions (direct):
Gd  0.250  0.250  0.250
Os  0.000  0.000  0.000
Rb  0.750  0.750  0.750


Gd2Re3Os: relaxed, PBE-GGA.

Results
Formation energy from the elements (eV per atom): -0.19
Symmetry: P6_3/mmc (194)

a = 5.328 Å, b = 5.328 Å, c = 9.117 Å
α = 90.00°, β = 90.00°, γ = 120.00°
Positions (direct):
Gd  0.667  0.333  0.062
Gd  0.667  0.333  0.438
Gd  0.333  0.667  0.562
Gd  0.333  0.667  0.938
Os  0.000  0.000  0.000
Os  0.000  0.000  0.500
Re  0.170  0.341  0.250
Re  0.170  0.830  0.250
Re  0.659  0.830  0.250
Re  0.341  0.170  0.750
Re  0.830  0.170  0.750
Re  0.830  0.659  0.750


GdReOs: relaxed, PBE-GGA.

Results
Formation energy from the elements (eV per atom): 1.84
Symmetry: F-43m (216)

a = 4.502 Å, b = 4.502 Å, c = 4.502 Å
α = 60.00°, β = 60.00°, γ = 60.00°
Positions (direct):
Gd  0.000  0.000  0.000
Os  0.250  0.250  0.250
Re  0.750  0.750  0.750


Gd6OsS2: relaxed, PBE-GGA.

Results
Symmetry: P-62m (189)
E (Ry/atom): -0.4442

a = 7.942 Å, b = 7.942 Å, c = 3.958 Å
α = 90.00°, β = 90.00°, γ = 120.00°
Positions (direct):
Gd  0.410  0.000  0.000
Gd  0.000  0.410  0.000
Gd  0.590  0.590  0.000
Gd  0.747  0.000  0.500
Gd  0.253  0.253  0.500
Gd  0.000  0.747  0.500
Os  0.000  0.000  0.000
S  0.667  0.333  0.500
S  0.333  0.667  0.500


GdScOs: relaxed, PBE-GGA.

Results
Formation energy from the elements (eV per atom): 0.78
Symmetry: F-43m (216)

a = 4.614 Å, b = 4.614 Å, c = 4.614 Å
α = 60.00°, β = 60.00°, γ = 60.00°
Positions (direct):
Gd  0.000  0.000  0.000
Os  0.250  0.250  0.250
Sc  0.750  0.750  0.750


GdScOs: relaxed, PBE-GGA.

Results
Formation energy from the elements (eV per atom): 0.50
Symmetry: F-43m (216)

a = 4.575 Å, b = 4.575 Å, c = 4.575 Å
α = 60.00°, β = 60.00°, γ = 60.00°
Positions (direct):
Gd  0.250  0.250  0.250
Os  0.750  0.750  0.750
Sc  0.000  0.000  0.000


Gd3Sc3Te2Os: relaxed, PBE-GGA.

Results
Symmetry: P-62m (189)
E (Ry/atom): -0.4552

a = 8.159 Å, b = 8.159 Å, c = 3.902 Å
α = 90.00°, β = 90.00°, γ = 120.00°
Positions (direct):
Gd  0.248  0.000  0.000
Gd  0.000  0.248  0.000
Gd  0.752  0.752  0.000
Os  0.000  0.000  0.500
Sc  0.612  0.000  0.500
Sc  0.388  0.388  0.500
Sc  0.000  0.612  0.500
Te  0.667  0.333  0.000
Te  0.333  0.667  0.000


Gd3Sc3Te2Os: relaxed, PBE-GGA.

Results
Symmetry: P-62m (189)
E (Ry/atom): -0.4695

a = 7.976 Å, b = 7.976 Å, c = 4.032 Å
α = 90.00°, β = 90.00°, γ = 120.00°
Positions (direct):
Gd  0.608  0.000  0.500
Gd  0.392  0.392  0.500
Gd  0.000  0.608  0.500
Os  0.000  0.000  0.500
Sc  0.231  0.000  0.000
Sc  0.000  0.231  0.000
Sc  0.769  0.769  0.000
Te  0.667  0.333  0.000
Te  0.333  0.667  0.000


GdZr2Sc3Te2Os: relaxed, PBE-GGA.

Results
Symmetry: Amm2 (38)
E (Ry/atom): -0.5229

a = 3.804 Å, b = 7.884 Å, c = 7.884 Å
α = 121.34°, β = 90.00°, γ = 90.00°
Positions (direct):
Gd  0.000  0.601  0.601
Os  0.000  0.998  0.998
Sc  0.500  0.765  0.007
Sc  0.500  0.239  0.239
Sc  0.500  0.007  0.765
Te  0.500  0.670  0.326
Te  0.500  0.326  0.670
Zr  0.000  0.999  0.395
Zr  0.000  0.395  0.999


Gd2ZrSc3Te2Os: relaxed, PBE-GGA.

Results
Symmetry: Amm2 (38)
E (Ry/atom): -0.4960

a = 3.912 Å, b = 7.857 Å, c = 7.857 Å
α = 118.30°, β = 90.00°, γ = 90.00°
Positions (direct):
Gd  0.000  0.396  0.002
Gd  0.000  0.002  0.396
Os  0.000  0.005  0.005
Sc  0.500  0.235  0.235
Sc  0.500  0.989  0.760
Sc  0.500  0.760  0.989
Te  0.500  0.662  0.344
Te  0.500  0.344  0.662
Zr  0.000  0.607  0.607


Gd6OsSe2: relaxed, PBE-GGA.

Results
Symmetry: P-62m (189)
E (Ry/atom): -0.4346

a = 8.138 Å, b = 8.138 Å, c = 3.972 Å
α = 90.00°, β = 90.00°, γ = 120.00°
Positions (direct):
Gd  0.405  0.000  0.000
Gd  0.000  0.405  0.000
Gd  0.595  0.595  0.000
Gd  0.753  0.000  0.500
Gd  0.247  0.247  0.500
Gd  0.000  0.753  0.500
Os  0.000  0.000  0.000
Se  0.667  0.333  0.500
Se  0.333  0.667  0.500


GdSiOs: relaxed, PBE-GGA.

Results
Symmetry: F-43m (216)
E (Ry/atom): -0.4533

a = 4.589 Å, b = 4.589 Å, c = 4.589 Å
α = 60.00°, β = 60.00°, γ = 60.00°
Positions (direct):
Gd  0.000  0.000  0.000
Os  0.250  0.250  0.250
Si  0.750  0.750  0.750


GdSiOs: relaxed, PBE-GGA.

Results
Symmetry: F-43m (216)
E (Ry/atom): -0.5233

a = 4.462 Å, b = 4.462 Å, c = 4.462 Å
α = 60.00°, β = 60.00°, γ = 60.00°
Positions (direct):
Gd  0.250  0.250  0.250
Os  0.000  0.000  0.000
Si  0.750  0.750  0.750


SmGdSi2Os2: relaxed, PBE-GGA.

Results
Symmetry: P4mm (99)
E (Ry/atom): -0.5709

a = 4.192 Å, b = 4.192 Å, c = 6.830 Å
α = 90.00°, β = 90.00°, γ = 90.00°
Positions (direct):
Gd  0.500  0.500  0.680
Os  0.500  0.000  0.999
Os  0.000  0.500  0.999
Si  0.500  0.500  0.185
Si  0.000  0.000  0.812
Sm  0.000  0.000  0.326


SrGdSi4Os2: relaxed, PBE-GGA.

Results
Symmetry: Pm (6)
E (Ry/atom): -0.5078

a = 4.537 Å, b = 4.086 Å, c = 8.315 Å
α = 90.00°, β = 101.96°, γ = 90.00°
Positions (direct):
Gd  0.590  0.000  0.706
Os  0.876  0.000  0.110
Os  0.117  0.500  0.883
Si  0.331  0.000  0.005
Si  0.964  0.000  0.410
Si  0.039  0.500  0.593
Si  0.664  0.500  0.990
Sr  0.419  0.500  0.304


GdYSi4Os2: relaxed, PBE-GGA.

Results
Symmetry: Pm (6)
E (Ry/atom): -0.5624

a = 4.433 Å, b = 4.097 Å, c = 8.155 Å
α = 90.00°, β = 101.79°, γ = 90.00°
Positions (direct):
Gd  0.588  0.000  0.702
Os  0.884  0.000  0.116
Os  0.116  0.500  0.885
Si  0.336  0.000  0.006
Si  0.964  0.000  0.410
Si  0.037  0.500  0.590
Si  0.664  0.500  0.994
Y  0.411  0.500  0.297


GdSn6Os4: relaxed, PBE-GGA.

Results
Symmetry: I-42m (121)
E (Ry/atom): -0.4967

a = 6.984 Å, b = 6.984 Å, c = 6.984 Å
α = 120.60°, β = 120.60°, γ = 88.97°
Positions (direct):
Gd  0.000  0.000  0.000
Os  0.750  0.407  0.000
Os  0.407  0.750  0.000
Os  0.593  0.593  0.343
Os  0.250  0.250  0.657
Sn  0.469  0.115  0.000
Sn  0.115  0.469  0.000
Sn  0.885  0.885  0.354
Sn  0.500  0.000  0.500
Sn  0.000  0.500  0.500
Sn  0.531  0.531  0.646


SrGdOs: relaxed, PBE-GGA.

Results
Symmetry: F-43m (216)
E (Ry/atom): -0.4049

a = 4.918 Å, b = 4.918 Å, c = 4.918 Å
α = 60.00°, β = 60.00°, γ = 60.00°
Positions (direct):
Gd  0.250  0.250  0.250
Os  0.000  0.000  0.000
Sr  0.750  0.750  0.750


GdTaOs: relaxed, PBE-GGA.

Results
Formation energy from the elements (eV per atom): 1.50
Symmetry: F-43m (216)

a = 4.535 Å, b = 4.535 Å, c = 4.535 Å
α = 60.00°, β = 60.00°, γ = 60.00°
Positions (direct):
Gd  0.000  0.000  0.000
Os  0.250  0.250  0.250
Ta  0.750  0.750  0.750